(1)
Below is a PBEsol-optimized structure of Rb2ScNiAs, with properties calculated at the meta-GGA SCAN level.

Calculated values
ΔE_f: 503 meV/atom

```
data_Rb2ScNiAs
_chemical_formula_sum 'Rb2 Sc1 Ni1 As1'
_cell_length_a 6.687
_cell_length_b 6.687
_cell_length_c 4.262
_cell_angle_alpha 90.00
_cell_angle_beta 90.00
_cell_angle_gamma 90.00
_space_group_name_H-M_alt 'P 1'
_space_group_IT_number 1
_space_group_name_Hall 'P 1'
loop_
_atom_site_label
_atom_site_type_symbol
_atom_site_fract_x
_atom_site_fract_y
_atom_site_fract_z
_atom_site_occupancy
Rb1 Rb 0.000 0.500 0.000 1
Rb2 Rb 0.500 0.000 0.000 1
Sc1 Sc 0.000 0.000 0.500 1
Ni1 Ni 0.500 0.500 0.500 1
As1 As 0.500 0.500 0.000 1
```


(2)
Below is a PBEsol-optimized structure of CaTlRu2, with properties calculated at the meta-GGA SCAN level.

Calculated values
ΔE_f: 734 meV/atom
Energy relative to the lowest polymorph listed for this composition: 565 meV/atom

```
data_CaTlRu2
_chemical_formula_sum 'Ca3 Tl3 Ru6'
_cell_length_a 3.080
_cell_length_b 3.080
_cell_length_c 26.491
_cell_angle_alpha 90.00
_cell_angle_beta 90.00
_cell_angle_gamma 120.00
_space_group_name_H-M_alt 'P 1'
_space_group_IT_number 1
_space_group_name_Hall 'P 1'
loop_
_atom_site_label
_atom_site_type_symbol
_atom_site_fract_x
_atom_site_fract_y
_atom_site_fract_z
_atom_site_occupancy
Ca1 Ca 0.000 0.000 0.000 1
Ca2 Ca 0.333 0.667 0.667 1
Ca3 Ca 0.667 0.333 0.333 1
Tl1 Tl 0.000 0.000 0.500 1
Tl2 Tl 0.333 0.667 0.167 1
Tl3 Tl 0.667 0.333 0.833 1
Ru1 Ru 0.000 0.000 0.246 1
Ru2 Ru 0.000 0.000 0.754 1
Ru3 Ru 0.333 0.667 0.420 1
Ru4 Ru 0.333 0.667 0.913 1
Ru5 Ru 0.667 0.333 0.087 1
Ru6 Ru 0.667 0.333 0.580 1
```


(3)
Below is a PBEsol-optimized structure of ReNiBr2, with properties calculated at the meta-GGA SCAN level.

Calculated values
Energy relative to the lowest polymorph listed for this composition: 431 meV/atom
Formation energy from raw total energies: 411.9 kJ/mol of formula units

```
data_ReNiBr2
_chemical_formula_sum 'Re3 Ni3 Br6'
_cell_length_a 3.079
_cell_length_b 3.079
_cell_length_c 22.920
_cell_angle_alpha 90.00
_cell_angle_beta 90.00
_cell_angle_gamma 120.00
_space_group_name_H-M_alt 'P 1'
_space_group_IT_number 1
_space_group_name_Hall 'P 1'
loop_
_atom_site_label
_atom_site_type_symbol
_atom_site_fract_x
_atom_site_fract_y
_atom_site_fract_z
_atom_site_occupancy
Re1 Re 0.000 0.000 0.000 1
Re2 Re 0.333 0.667 0.667 1
Re3 Re 0.667 0.333 0.333 1
Ni1 Ni 0.000 0.000 0.500 1
Ni2 Ni 0.333 0.667 0.167 1
Ni3 Ni 0.667 0.333 0.833 1
Br1 Br 0.000 0.000 0.246 1
Br2 Br 0.000 0.000 0.754 1
Br3 Br 0.333 0.667 0.421 1
Br4 Br 0.333 0.667 0.912 1
Br5 Br 0.667 0.333 0.088 1
Br6 Br 0.667 0.333 0.579 1
```